10
Lattice="4.118 0.000 0.000 0.000 4.118 0.000 0.000 0.000 11.753" Properties=species:S:1:pos:R:3 comment="LiAl4 | the Alexandria database | GGA-PBE | relaxed" total_energy_ev_per_atom=-3.34 e_form_ev_per_fu=0.2 pbc="T T T"
Li 0.000 0.000 0.000
Li 2.059 2.059 5.876
Al 0.000 0.000 4.612
Al 0.000 0.000 7.140
Al 0.000 2.059 2.938
Al 0.000 2.059 8.814
Al 2.059 0.000 2.938
Al 2.059 0.000 8.814
Al 2.059 2.059 1.264
Al 2.059 2.059 10.489

=====

5
Lattice="4.397 0.000 0.000 0.000 4.397 0.000 0.000 0.000 5.296" Properties=species:S:1:pos:R:3 comment="YBeZn2Sb | the Alexandria database | GGA-PBE | relaxed" total_energy_ev_per_atom=-3.41 pbc="T T T"
Y 0.000 0.000 0.000
Be 2.198 2.198 2.648
Zn 0.000 2.198 2.648
Zn 2.198 0.000 2.648
Sb 2.198 2.198 0.000